Here is an optimized crystal structure of MnTlF3 from Alexandria. Energies are from PBE with a Hubbard U.

Unit cell a=4.0437 b=4.0437 c=13.4811 alpha=90.00 beta=90.00 gamma=120.00
Positions (direct):
Mn1 0.0000 0.0000 0.0000
Mn2 0.0000 0.0000 0.5000
Tl1 0.3333 0.6667 0.2500
Tl2 0.6667 0.3333 0.7500
F1 0.0000 0.0000 0.2500
F2 0.0000 0.0000 0.7500
F3 0.3333 0.6667 0.0417
F4 0.3333 0.6667 0.4583
F5 0.6667 0.3333 0.5417
F6 0.6667 0.3333 0.9583

Computed properties:
The final energy is -50.03 eV per cell.